# 1
The following is a PBE-GGA calculation of crystalline Fe2TcBr2 at its relaxed geometry, from Alexandria.

a b c (Å): 6.0618 6.0618 6.0618
angles (deg): 137.58 137.58 61.54
With the nearest neighbours (Å) after each atom.
Element x y z (fractional)
Fe1 0.1059 0.1059 0.0000  1 Fe 2.21
Fe2 0.8941 0.8941 0.0000  1 Fe 2.21
Tc1 0.5000 0.5000 0.0000  8 Fe 3.29, 8 Br 3.40
Br1 0.2500 0.7500 0.5000  4 Fe 2.66
Br2 0.7500 0.2500 0.5000  4 Fe 2.66

Calculated values
DFT total energy   -25.3 eV/cell
Theoretical density   6.12 g cm⁻³
Excess energy over the best structure of this formula in the dataset   0.000 eV/f.u.
Spin magnetization   2.51 μB per cell
Density of states at the Fermi level   1.39 states/eV per atom
Formation energy without anion corrections   519 kJ/mol of formula units

# 2
The following is a PBE-GGA calculation of crystalline Fe2TcBr at its relaxed geometry, from Alexandria.

a b c (Å): 4.2976 4.2976 4.2976
angles (deg): 60.00 60.00 60.00
With the nearest neighbours (Å) after each atom.
Element x y z (fractional)
Fe1 0.0000 0.0000 0.0000  4 Br 2.63, 4 Fe 2.63
Fe2 0.2500 0.2500 0.2500  4 Fe 2.63, 4 Tc 2.63
Tc1 0.5000 0.5000 0.5000  4 Fe 2.63, 4 Br 2.63
Br1 0.7500 0.7500 0.7500  4 Fe 2.63, 4 Tc 2.63

Calculated values
DFT total energy   -25.4 eV/cell
Theoretical density   8.57 g cm⁻³
Excess energy over the best structure of this formula in the dataset   1.871 eV/f.u.
Spin magnetization   4.26 μB per cell
Density of states at the Fermi level   1.00 states/eV per atom
Formation energy without anion corrections   341 kJ/mol of formula units